(1)
## SrMg2Cd2 (GGA-PBE)

Data for a relaxed structure of SrMg2Cd2.

Summary:
ΔE to the lowest computed polymorph (meV/atom): 0
Energy of formation from the pure elements (eV/atom): -0.218

Lattice parameters (Å, degrees): 7.308 7.308 7.308 143.17 143.17 53.06
Positions (direct):
Sr: 0.000 0.000 0.000
Mg: 0.250 0.750 0.500
Mg: 0.750 0.250 0.500
Cd: 0.390 0.390 0.000
Cd: 0.610 0.610 0.000

(2)
## NpHgC2O8 (GGA-PBE)

Data for a relaxed structure of NpHgC2O8.

Lattice parameters (Å, degrees): 4.925 4.925 8.707 106.23 106.23 67.80
Positions (direct):
Np: 0.000 0.000 0.000
Hg: 0.000 0.000 0.500
C: 0.367 0.367 0.731
C: 0.633 0.633 0.269
O: 0.209 0.209 0.981
O: 0.215 0.625 0.799
O: 0.264 0.264 0.575
O: 0.375 0.785 0.201
O: 0.625 0.215 0.799
O: 0.736 0.736 0.425
O: 0.785 0.375 0.201
O: 0.791 0.791 0.019

(3)
## NaLiHgF4 (GGA-PBE)

Data for a relaxed structure of NaLiHgF4.

Lattice parameters (Å, degrees): 6.565 6.565 6.565 120.12 118.16 91.50
Positions (direct):
Na: 0.500 0.000 0.000
Na: 0.500 0.500 0.500
Li: 0.116 0.366 0.750
Li: 0.884 0.634 0.250
Hg: 0.000 0.000 0.000
Hg: 0.500 0.000 0.500
F: 0.246 0.246 0.000
F: 0.247 0.258 0.511
F: 0.247 0.736 0.989
F: 0.254 0.754 0.500
F: 0.746 0.246 0.500
F: 0.753 0.264 0.011
F: 0.753 0.742 0.489
F: 0.754 0.754 0.000

Number 1: volume 27.87 Å³ per atom, uncorrected energy -7.79 eV per cell. Number 2: volume 15.35 Å³ per atom, uncorrected energy -89.76 eV per cell. Number 3: volume 14.47 Å³ per atom, uncorrected energy -52.90 eV per cell.